# 1
Entry from Alexandria via LeMat-Bulk: an optimized crystal structure of InCuSe2 (PBE-GGA).

raw formation energy	-109.9	kJ/mol of formula units
V	111.06	Å³ per cell

a = 4.3668 Å, b = 4.1162 Å, c = 6.1820 Å
α = 90.00°, β = 91.92°, γ = 90.00°
Space group Pm (No. 6)
Inequivalent atoms, fractional coordinates:
In (0.0000, 0.0000, 0.0000) x1
Cu (0.4284, 0.5000, 0.0841) x1
Se (0.1086, 0.5000, 0.7509) x1
Se (0.5639, 0.0000, 0.2795) x1

# 2
Entry from Alexandria via LeMat-Bulk: an optimized crystal structure of CaErAgPb (PBE-GGA).

DFT formation energy	-166	kJ/mol of formula units
V	422.89	Å³ per cell

a = 7.5060 Å, b = 7.5060 Å, c = 7.5060 Å
α = 90.00°, β = 90.00°, γ = 90.00°
Space group F-43m (No. 216)
Inequivalent atoms, fractional coordinates:
Ca (0.0000, 0.0000, 0.0000) x4
Er (0.0000, 0.0000, 0.5000) x4
Ag (0.2500, 0.2500, 0.2500) x4
Pb (0.2500, 0.2500, 0.7500) x4

# 3
Entry from Alexandria via LeMat-Bulk: an optimized crystal structure of Er3Cd7Ag2 (PBE-GGA).

DFT formation energy	-195	kJ/mol of formula units
energy above the most stable polymorph in this dataset	0.0000	eV per atom
V	284.38	Å³ per cell

a = 4.7584 Å, b = 3.8303 Å, c = 15.7696 Å
α = 90.00°, β = 98.33°, γ = 90.00°
Space group P2/m (No. 10)
Inequivalent atoms, fractional coordinates:
Er (0.0000, 0.0000, 0.0000) x1
Er (0.3186, 0.5000, 0.6428) x2
Cd (0.0797, 0.5000, 0.1538) x2
Cd (0.2291, 0.0000, 0.4563) x2
Cd (0.4129, 0.0000, 0.8319) x2
Cd (0.5000, 0.5000, 0.0000) x1
Ag (0.1444, 0.0000, 0.2836) x2

# 4
Entry from Alexandria via LeMat-Bulk: an optimized crystal structure of LaTb6Y (PBE-GGA).

DFT formation energy	21	kJ/mol of formula units
energy above the most stable polymorph in this dataset	0.0000	eV per atom
V	261.32	Å³ per cell

a = 5.0756 Å, b = 5.0756 Å, c = 10.1437 Å
α = 90.00°, β = 90.00°, γ = 90.00°
Space group P4/mmm (No. 123)
Inequivalent atoms, fractional coordinates:
La (0.0000, 0.0000, 0.0000) x1
Tb (0.0000, 0.5000, 0.2531) x4
Tb (0.5000, 0.5000, 0.0000) x1
Tb (0.5000, 0.5000, 0.5000) x1
Y (0.0000, 0.0000, 0.5000) x1

# 5
Entry from Alexandria via LeMat-Bulk: an optimized crystal structure of Cs2CeTe2O6 (PBE-GGA).

raw formation energy	-1779.5	kJ/mol of formula units
V	712.72	Å³ per cell

a = 6.6820 Å, b = 6.6820 Å, c = 18.4321 Å
α = 90.00°, β = 90.00°, γ = 120.00°
Space group R-3m (No. 166, hexagonal axes)
Inequivalent atoms, fractional coordinates:
Cs (0.0000, 0.0000, 0.2114) x6
Ce (0.0000, 0.0000, 0.0000) x3
Te (0.0000, 0.0000, 0.4121) x6
O (0.0200, 0.5100, 0.7428) x18

# 6
Entry from Alexandria via LeMat-Bulk: an optimized crystal structure of TiAs2Au (PBE-GGA).

DFT formation energy	-9	kJ/mol of formula units
V	284.62	Å³ per cell

a = 6.5779 Å, b = 6.5779 Å, c = 6.5779 Å
α = 90.00°, β = 90.00°, γ = 90.00°
Space group Fm-3m (No. 225)
Inequivalent atoms, fractional coordinates:
Ti (0.0000, 0.0000, 0.0000) x4
As (0.2500, 0.2500, 0.2500) x8
Au (0.0000, 0.0000, 0.5000) x4

# 7
Entry from Alexandria via LeMat-Bulk: an optimized crystal structure of Li2PrAsPd2 (PBE-GGA).

DFT formation energy	-255	kJ/mol of formula units
V	116.58	Å³ per cell

a = 4.4715 Å, b = 4.4715 Å, c = 5.8306 Å
α = 90.00°, β = 90.00°, γ = 90.00°
Space group P4/mmm (No. 123)
Inequivalent atoms, fractional coordinates:
Li (0.0000, 0.5000, 0.0000) x2
Pr (0.0000, 0.0000, 0.5000) x1
As (0.0000, 0.0000, 0.0000) x1
Pd (0.5000, 0.5000, 0.2683) x2

# 8
Entry from Alexandria via LeMat-Bulk: an optimized crystal structure of Li2Ce2Sn (PBE-GGA).

DFT formation energy	-9	kJ/mol of formula units
V	291.81	Å³ per cell

a = 4.0977 Å, b = 4.0977 Å, c = 17.3789 Å
α = 90.00°, β = 90.00°, γ = 90.00°
Space group I4/mmm (No. 139)
Inequivalent atoms, fractional coordinates:
Li (0.0000, 0.5000, 0.2500) x4
Ce (0.0000, 0.0000, 0.0798) x4
Sn (0.0000, 0.0000, 0.5000) x2

# 9
Entry from Alexandria via LeMat-Bulk: an optimized crystal structure of Sm8Hg3Sb2 (PBE-GGA).

raw formation energy	-510.6	kJ/mol of formula units
V	831.01	Å³ per cell

a = 15.2181 Å, b = 8.5479 Å, c = 6.3886 Å
α = 90.00°, β = 90.51°, γ = 90.00°
Space group C2/m (No. 12)
Inequivalent atoms, fractional coordinates:
Sm (0.0912, 0.0000, 0.3563) x4
Sm (0.1198, 0.2094, 0.8572) x8
Sm (0.1821, 0.5000, 0.3999) x4
Hg (0.0000, 0.3247, 0.5000) x4
Hg (0.0000, 0.5000, 0.0000) x2
Sb (0.2381, 0.5000, 0.9139) x4

# 10
Entry from Alexandria via LeMat-Bulk: an optimized crystal structure of Pm2Zn2Ru (PBE-GGA).

DFT formation energy	-145	kJ/mol of formula units
energy above the most stable polymorph in this dataset	0.0108	eV per atom
V	462.92	Å³ per cell

a = 11.1690 Å, b = 3.9785 Å, c = 11.6680 Å
α = 90.00°, β = 116.77°, γ = 90.00°
Space group C2/m (No. 12)
Inequivalent atoms, fractional coordinates:
Pm (0.0731, 0.0000, 0.3622) x4
Pm (0.2092, 0.0000, 0.1202) x4
Zn (0.0106, 0.5000, 0.8849) x4
Zn (0.1218, 0.5000, 0.5865) x4
Ru (0.2255, 0.5000, 0.3044) x4

# 11
Entry from Alexandria via LeMat-Bulk: an optimized crystal structure of Er8Tl2Cu (PBE-GGA).

DFT formation energy	-137	kJ/mol of formula units
V	610.52	Å³ per cell

a = 18.3480 Å, b = 5.0845 Å, c = 6.6859 Å
α = 90.00°, β = 101.81°, γ = 90.00°
Space group C2/m (No. 12)
Inequivalent atoms, fractional coordinates:
Er (0.0160, 0.0000, 0.2720) x4
Er (0.0904, 0.5000, 0.9576) x4
Er (0.1478, 0.5000, 0.4781) x4
Er (0.2045, 0.0000, 0.8054) x4
Tl (0.1879, 0.0000, 0.2528) x4
Cu (0.0000, 0.5000, 0.5000) x2

# 12
Entry from Alexandria via LeMat-Bulk: an optimized crystal structure of KSr2Te (PBE-GGA).

raw formation energy	-261.5	kJ/mol of formula units
V	191.61	Å³ per cell

a = 4.1220 Å, b = 4.1219 Å, c = 11.2778 Å
α = 90.00°, β = 90.09°, γ = 90.00°
Space group P2/m (No. 10)
Inequivalent atoms, fractional coordinates:
K (0.0000, 0.0000, 0.0000) x1
Sr (0.4988, 0.5000, 0.3262) x2
Te (0.0000, 0.0000, 0.5000) x1